Compound: YAlW2
Source: the Alexandria database
Functional: PBE-GGA
Structure: optimized geometry

Cell and atoms, written as extended XYZ:
```
8
Lattice="4.0026 0.0000 0.0000 0.0000 4.0026 0.0000 0.0000 0.0000 9.3513" Properties=species:S:1:pos:R:3 pbc="T T T"
Y 0.0000 0.0000 0.0000
Y 2.0013 2.0013 4.6757
Al 0.0000 0.0000 4.6757
Al 2.0013 2.0013 0.0000
W 0.0000 2.0013 2.3378
W 0.0000 2.0013 7.0135
W 2.0013 0.0000 2.3378
W 2.0013 0.0000 7.0135
```

## Properties
* E_form: 1.6 eV per formula unit
* symmetry: No. 139